First-principles (PBE) data for a relaxed structure of Cd2In3Pb2, as listed in the Alexandria database.

Cell: 5.938 5.938 7.944 Å, 96.05 96.05 43.72°
Fractional positions:
Cd 0.152 0.152 0.426
Cd 0.848 0.848 0.574
In 0.000 0.000 0.000
In 0.290 0.290 0.857
In 0.710 0.710 0.143
Pb 0.430 0.430 0.296
Pb 0.570 0.570 0.704

Summary:
Energy relative to the elements   0.042 eV per atom
DOS(E_F)   2.9 states/eV per cell